# 1
First-principles (PBE) data for a relaxed structure of Ti2NiRh7, as listed in the Alexandria database.

Output
E_tot ... -7.16 eV/atom
Energy of formation ... 139 meV per atom
Fermi-level density of states ... 16.51 states/eV/f.u.

Cell lengths 2.781, 8.300, 8.300 Å; angles 122.22, 90.00, 90.00 degrees
Element x y z (fractional)
Ti 0.500 0.677 0.323
Ti 0.500 0.323 0.677
Ni 0.000 0.000 0.000
Rh 0.000 0.815 0.185
Rh 0.000 0.185 0.815
Rh 0.500 0.132 0.316
Rh 0.500 0.868 0.684
Rh 0.500 0.316 0.132
Rh 0.500 0.684 0.868
Rh 0.500 0.500 0.500



# 2
First-principles (PBE) data for a relaxed structure of KLuSn2, as listed in the Alexandria database.

Output
ΔE to the lowest computed polymorph ... 0.139 eV per atom
E_tot ... -3.64 eV/atom
Energy of formation ... -239 meV per atom
Fermi-level density of states ... 1.56 states/eV/f.u.

Cell lengths 3.671, 3.671, 10.781 Å; angles 80.20, 80.20, 60.00 degrees
Element x y z (fractional)
K 0.500 0.500 0.500
Lu 0.000 0.000 0.000
Sn 0.742 0.742 0.774
Sn 0.258 0.258 0.226



# 3
First-principles (PBE) data for a relaxed structure of Tm2ThMg6, as listed in the Alexandria database.

Output
E_tot ... -2.90 eV/atom
Energy of formation ... -24 meV per atom
Fermi-level density of states ... 7.44 states/eV/f.u.

Cell lengths 3.305, 9.044, 9.044 Å; angles 60.00, 90.01, 90.01 degrees
Element x y z (fractional)
Tm 0.000 0.333 0.333
Tm 0.000 0.667 0.667
Th 0.000 0.000 0.000
Mg 0.500 0.663 0.000
Mg 0.500 0.000 0.337
Mg 0.500 0.337 0.000
Mg 0.500 0.663 0.337
Mg 0.500 0.000 0.663
Mg 0.500 0.337 0.663



Q: What is the energy of formation in the second record?
A: -239 meV per atom



Q: Which value of energy of formation does entry 3 give?
A: -24 meV per atom